A plane-wave DFT calculation with meta-GGA SCAN was carried out for a crystal of Ti5Cu2S10 relaxed with PBEsol.

extended XYZ file:
```
17
Lattice="-5.749 0.719 -0.139 -0.661 -6.052 -2.716 2.578 -1.061 7.676" Properties=species:S:1:pos:R:3 pbc="T T T"
Ti -3.085 -0.991 0.895
Ti -0.374 -2.706 1.976
Ti -0.747 -5.404 3.926
Ti -3.457 -3.689 2.845
Ti 0.000 0.000 0.000
Cu -3.290 -1.937 5.131
Cu -0.541 -4.458 -0.310
S 0.441 -3.319 4.145
S -2.521 -4.978 -1.574
S -2.210 -1.600 3.060
S -2.590 -4.310 5.058
S -4.900 0.069 2.054
S 1.069 -6.464 2.767
S -1.241 -2.085 -0.237
S -1.621 -4.795 1.762
S -1.311 -1.416 6.395
S -4.273 -3.076 0.677
```

---

A plane-wave DFT calculation with meta-GGA SCAN was carried out for a crystal of Mg2AgHgSe relaxed with PBEsol.

extended XYZ file:
```
5
Lattice="-2.071 -4.251 2.010 3.356 -2.875 -2.622 3.415 0.265 4.080" Properties=species:S:1:pos:R:3 pbc="T T T"
Mg 1.678 -1.437 -1.311
Mg -1.036 -2.126 1.005
Se 1.708 0.133 2.040
Hg 0.000 0.000 0.000
Ag 2.350 -3.430 1.734
```

---

A plane-wave DFT calculation with meta-GGA SCAN was carried out for a crystal of HfScW2 relaxed with PBEsol.

extended XYZ file:
```
4
Lattice="4.642 0.000 0.000 2.321 4.020 0.000 2.321 1.340 3.790" Properties=species:S:1:pos:R:3 pbc="T T T"
Sc 0.000 0.000 0.000
Hf 4.642 2.680 1.895
W 2.321 1.340 0.948
W 6.963 4.020 2.843
```

## Properties
For the calculated formation energy, the calculation gives 442 meV per atom.

---

A plane-wave DFT calculation with meta-GGA SCAN was carried out for a crystal of Ta2PbCl relaxed with PBEsol.

extended XYZ file:
```
4
Lattice="2.931 0.000 0.000 -1.466 2.828 0.000 0.000 0.000 9.352" Properties=species:S:1:pos:R:3 pbc="T T T"
Pb 1.466 0.000 0.000
Cl 1.466 0.000 4.676
Ta 0.000 0.000 6.830
Ta 0.000 0.000 2.522
```

---

A plane-wave DFT calculation with meta-GGA SCAN was carried out for a crystal of SiMo2Cl relaxed with PBEsol.

extended XYZ file:
```
4
Lattice="-1.555 -0.152 2.305 -0.668 -2.200 -1.572 6.328 -4.747 3.956" Properties=species:S:1:pos:R:3 pbc="T T T"
Cl 0.210 -2.167 1.193
Mo 6.302 -4.728 3.940
Mo 3.683 -4.773 3.364
Si 3.402 -2.552 2.127
```

---

A plane-wave DFT calculation with meta-GGA SCAN was carried out for a crystal of InHg4Pb relaxed with PBEsol.

extended XYZ file:
```
6
Lattice="5.962 0.000 0.000 2.981 5.163 0.000 2.981 1.721 4.868" Properties=species:S:1:pos:R:3 pbc="T T T"
Hg 4.472 2.582 1.826
Hg 5.962 3.442 4.259
Hg 7.452 2.582 1.826
Hg 5.962 5.162 1.826
In 8.943 5.163 3.651
Pb 0.000 0.000 0.000
```

## Properties
For the calculated formation energy, the calculation gives 112 meV per atom.

---

A plane-wave DFT calculation with meta-GGA SCAN was carried out for a crystal of Tc2PRuPb relaxed with PBEsol.

extended XYZ file:
```
5
Lattice="4.596 0.000 0.000 0.000 4.596 0.000 0.000 0.000 5.046" Properties=species:S:1:pos:R:3 pbc="T T T"
Pb 0.000 0.000 2.523
Ru 0.000 0.000 0.000
Tc 0.000 2.298 0.000
Tc 2.298 0.000 0.000
P 2.298 2.298 2.523
```

## Properties
For the calculated formation energy, the calculation gives 1620 meV per atom.

---

A plane-wave DFT calculation with meta-GGA SCAN was carried out for a crystal of BaRuO3 relaxed with PBEsol.

extended XYZ file:
```
15
Lattice="5.718 0.000 0.000 2.859 4.952 0.000 2.859 1.651 7.177" Properties=species:S:1:pos:R:3 pbc="T T T"
Ba 2.859 1.651 2.470
Ba 8.576 4.952 4.707
Ba 0.000 0.000 0.000
Ru 5.718 3.301 6.113
Ru 5.718 3.301 1.065
Ru 5.718 3.301 3.589
O 7.056 2.528 4.855
O 5.718 4.847 4.855
O 4.379 2.528 4.855
O 4.379 4.074 2.322
O 5.718 1.756 2.322
O 7.056 4.074 2.322
O 4.288 2.476 0.000
O 2.859 0.000 0.000
O 1.429 2.476 0.000
```

---

no.,theoretical density (Mg/m³),raw total energy (eV per atom)
1,4.1,-13.476
2,5.1,-25.506
3,13.9,-53.630
4,12.9,-53.750
5,6.5,-21.686
6,12.5,-63.526
7,8.3,-36.605
8,7.0,-20.649